No. 1
# meta-GGA SCAN MnRe2Se, single point on PBEsol structure
data_MnRe2Se
_chemical_formula_sum 'Mn2 Re4 Se2'
_cell_length_a 3.810
_cell_length_b 3.810
_cell_length_c 7.779
_cell_angle_alpha 90.00
_cell_angle_beta 90.00
_cell_angle_gamma 90.00
_symmetry_space_group_name_H-M 'I -4 m 2'
_symmetry_Int_Tables_number 119
_symmetry_space_group_name_Hall 'I -4 -2'
loop_
_atom_site_label
_atom_site_fract_x
_atom_site_fract_y
_atom_site_fract_z
Mn1 0.000 0.000 0.000
Re1 0.000 0.000 0.500
Re2 0.000 0.500 0.250
Se1 0.000 0.500 0.750
# **Raw formation energy**: 571 meV/atom

---

No. 2
# meta-GGA SCAN BeW3Se, single point on PBEsol structure
data_BeW3Se
_chemical_formula_sum 'Be1 W3 Se1'
_cell_length_a 4.253
_cell_length_b 4.253
_cell_length_c 4.253
_cell_angle_alpha 90.00
_cell_angle_beta 90.00
_cell_angle_gamma 90.00
_symmetry_space_group_name_H-M 'P m -3 m'
_symmetry_Int_Tables_number 221
_symmetry_space_group_name_Hall '-P 4 2 3'
loop_
_atom_site_label
_atom_site_fract_x
_atom_site_fract_y
_atom_site_fract_z
Be1 0.000 0.000 0.000
W1 0.000 0.000 0.500
Se1 0.500 0.500 0.500
# **Raw formation energy**: 1409 meV/atom

---

No. 3
# meta-GGA SCAN Tl2FeTc, single point on PBEsol structure
data_Tl2FeTc
_chemical_formula_sum 'Tl4 Fe2 Tc2'
_cell_length_a 3.194
_cell_length_b 5.016
_cell_length_c 8.903
_cell_angle_alpha 90.00
_cell_angle_beta 90.00
_cell_angle_gamma 90.00
_symmetry_space_group_name_H-M 'C m m m'
_symmetry_Int_Tables_number 65
_symmetry_space_group_name_Hall '-C 2 2'
loop_
_atom_site_label
_atom_site_fract_x
_atom_site_fract_y
_atom_site_fract_z
Tl1 0.000 0.000 0.244
Fe1 0.000 0.500 0.000
Tc1 0.000 0.500 0.500
# **Calculated formation energy**: 3.12 eV per formula unit
# **Excess energy over the best structure of this formula in the dataset**: 321 meV per atom

---

No. 4
# meta-GGA SCAN Ba2InHg, single point on PBEsol structure
data_Ba2InHg
_chemical_formula_sum 'Ba2 In1 Hg1'
_cell_length_a 4.138
_cell_length_b 4.138
_cell_length_c 9.006
_cell_angle_alpha 90.00
_cell_angle_beta 90.00
_cell_angle_gamma 90.00
_symmetry_space_group_name_H-M 'P 4 m m'
_symmetry_Int_Tables_number 99
_symmetry_space_group_name_Hall 'P 4 -2'
loop_
_atom_site_label
_atom_site_fract_x
_atom_site_fract_y
_atom_site_fract_z
Ba1 0.000 0.000 0.000
Ba2 0.500 0.500 0.400
In1 0.500 0.500 0.778
Hg1 0.000 0.000 0.605
# **Calculated formation energy**: -1.39 eV per formula unit

---

No. 5
# meta-GGA SCAN Cd5In, single point on PBEsol structure
data_Cd5In
_chemical_formula_sum 'Cd5 In1'
_cell_length_a 5.8382
_cell_length_b 5.8382
_cell_length_c 4.7991
_cell_angle_alpha 90.00
_cell_angle_beta 90.00
_cell_angle_gamma 120.00
_symmetry_space_group_name_H-M 'P 6/m m m'
_symmetry_Int_Tables_number 191
_symmetry_space_group_name_Hall '-P 6 2'
loop_
_atom_site_label
_atom_site_fract_x
_atom_site_fract_y
_atom_site_fract_z
Cd1 0.0000 0.5000 0.0000
Cd2 0.3333 0.6667 0.5000
In1 0.0000 0.0000 0.5000
# **Calculated formation energy**: 0.67 eV per formula unit
# **Excess energy over the best structure of this formula in the dataset**: 76 meV per atom

---

No. 6
# meta-GGA SCAN GeSI2N, single point on PBEsol structure
data_GeSI2N
_chemical_formula_sum 'Ge1 S1 I2 N1'
_cell_length_a 5.779
_cell_length_b 5.779
_cell_length_c 3.421
_cell_angle_alpha 90.00
_cell_angle_beta 90.00
_cell_angle_gamma 90.00
_symmetry_space_group_name_H-M 'P 4/m m m'
_symmetry_Int_Tables_number 123
_symmetry_space_group_name_Hall '-P 4 2'
loop_
_atom_site_label
_atom_site_fract_x
_atom_site_fract_y
_atom_site_fract_z
Ge1 0.000 0.000 0.000
S1 0.500 0.500 0.500
I1 0.000 0.500 0.500
N1 0.500 0.500 0.000
# **Excess energy over the best structure of this formula in the dataset**: 0 meV per atom
# **Raw formation energy**: 975 meV/atom

---

DFT total energy in eV per atom, matching the order above: -44.561; -45.290; -48.696; -45.512; -30.798; -21.323
Magnetic moment in μB per formula unit, matching the order above: 3.422; 0.000; 4.066; 0.000; 0.000; 0.000